1.
Density functional theory data (PBE-GGA) for crystalline HfIrCl2 at its relaxed geometry.

Computed properties:
Density of states at the Fermi level in states/eV/f.u.: 3.3
Formation energy from raw total energies in kJ per mole of atoms: 26.6
Total moment in μB per cell: 0.00
Excess energy over the best structure of this formula in the dataset in meV per atom: 536

Geometry as CIF:
```
data_HfIrCl2
_chemical_formula_sum 'Hf4 Ir4 Cl8'
_symmetry_space_group_name_H-M 'F m -3 m'
_symmetry_Int_Tables_number 225
_symmetry_space_group_name_Hall '-F 4 2 3'
_cell_length_a 6.4248
_cell_length_b 6.4248
_cell_length_c 6.4248
_cell_angle_alpha 90.00
_cell_angle_beta 90.00
_cell_angle_gamma 90.00
loop_
_atom_site_label
_atom_site_fract_x
_atom_site_fract_y
_atom_site_fract_z
Hf1 0.0000 0.0000 0.0000
Ir1 0.0000 0.0000 0.5000
Cl1 0.2500 0.2500 0.2500
```

2.
Density functional theory data (PBE-GGA) for crystalline YTlPtAu at its relaxed geometry.

Computed properties:
Density of states at the Fermi level in states/eV/f.u.: 1.5
Total moment in μB per cell: 0.00
Formation enthalpy at 0 K in eV/atom: -0.617

Geometry as CIF:
```
data_YTlPtAu
_chemical_formula_sum 'Y4 Tl4 Pt4 Au4'
_symmetry_space_group_name_H-M 'F -4 3 m'
_symmetry_Int_Tables_number 216
_symmetry_space_group_name_Hall 'F -4 2 3'
_cell_length_a 6.9799
_cell_length_b 6.9799
_cell_length_c 6.9799
_cell_angle_alpha 90.00
_cell_angle_beta 90.00
_cell_angle_gamma 90.00
loop_
_atom_site_label
_atom_site_fract_x
_atom_site_fract_y
_atom_site_fract_z
Y1 0.0000 0.0000 0.0000
Tl1 0.0000 0.0000 0.5000
Pt1 0.2500 0.2500 0.7500
Au1 0.2500 0.2500 0.2500
```

3.
Density functional theory data (PBE-GGA) for crystalline TcAg2Br at its relaxed geometry.

Computed properties:
Density of states at the Fermi level in states/eV/f.u.: 2.5
Formation energy from raw total energies in kJ per mole of atoms: 51.8
Total moment in μB per cell: 4.12
Excess energy over the best structure of this formula in the dataset in meV per atom: 123

Geometry as CIF:
```
data_TcAg2Br
_chemical_formula_sum 'Tc2 Ag4 Br2'
_symmetry_space_group_name_H-M 'C 1 m 1'
_symmetry_Int_Tables_number 8
_symmetry_space_group_name_Hall 'C -2y'
_cell_length_a 9.1394
_cell_length_b 3.1084
_cell_length_c 6.9081
_cell_angle_alpha 90.00
_cell_angle_beta 102.83
_cell_angle_gamma 90.00
loop_
_atom_site_label
_atom_site_fract_x
_atom_site_fract_y
_atom_site_fract_z
Tc1 0.0000 0.0000 0.0000
Ag1 0.0103 0.5000 0.3507
Ag2 0.2531 0.5000 0.1622
Br1 0.4133 0.0000 0.7158
```